1.
! Li3HgPd6, relaxed, DFT PBE; values from VASP
&SYSTEM
  ibrav = 0, nat = 20, ntyp = 3
/
ATOMIC_SPECIES
Li 6.94 Li.upf
Hg 200.59 Hg.upf
Pd 106.42 Pd.upf
CELL_PARAMETERS angstrom
7.830 0.000 0.000
0.000 4.247 0.000
-1.779 0.000 8.927
ATOMIC_POSITIONS crystal
Li 0.046 0.250 0.396
Li 0.147 0.750 0.181
Li 0.251 0.250 0.976
Li 0.749 0.750 0.024
Li 0.853 0.250 0.819
Li 0.954 0.750 0.604
Hg 0.444 0.250 0.605
Hg 0.556 0.750 0.395
Pd 0.038 0.750 0.896
Pd 0.121 0.250 0.692
Pd 0.223 0.750 0.477
Pd 0.321 0.250 0.276
Pd 0.343 0.750 0.789
Pd 0.437 0.750 0.088
Pd 0.563 0.250 0.912
Pd 0.657 0.250 0.211
Pd 0.679 0.750 0.724
Pd 0.777 0.250 0.523
Pd 0.879 0.750 0.308
Pd 0.962 0.250 0.104
! Total DFT energy (no corrections)   -4.010 eV/atom
! D(E_F)   14.147 states/eV per cell
! Theoretical density   9.6 g cm⁻³
! E_form   -2.903 eV per formula unit
! Energy relative to the lowest polymorph listed for this composition   0 kJ/mol of formula units
! Magnetic moment   0.0 μB per formula unit

=====

2.
! Li2Hg2Pd15, relaxed, DFT PBE; values from VASP
&SYSTEM
  ibrav = 0, nat = 19, ntyp = 3
/
ATOMIC_SPECIES
Li 6.94 Li.upf
Hg 200.59 Hg.upf
Pd 106.42 Pd.upf
CELL_PARAMETERS angstrom
4.512 2.605 4.584
-4.512 2.605 4.584
0.000 -5.210 4.584
ATOMIC_POSITIONS crystal
Li 0.104 0.104 0.104
Li 0.896 0.896 0.896
Hg 0.351 0.351 0.351
Hg 0.649 0.649 0.649
Pd 0.000 0.000 0.500
Pd 0.000 0.328 0.672
Pd 0.000 0.500 0.000
Pd 0.000 0.672 0.328
Pd 0.166 0.663 0.663
Pd 0.328 0.000 0.672
Pd 0.328 0.672 0.000
Pd 0.337 0.337 0.834
Pd 0.337 0.834 0.337
Pd 0.500 0.000 0.000
Pd 0.663 0.166 0.663
Pd 0.663 0.663 0.166
Pd 0.672 0.000 0.328
Pd 0.672 0.328 0.000
Pd 0.834 0.337 0.337
! Total DFT energy (no corrections)   -4.351 eV/atom
! D(E_F)   19.579 states/eV per cell
! Theoretical density   10.3 g cm⁻³
! E_form   -0.349 eV per formula unit
! Magnetic moment   0.0 μB per formula unit

=====

3.
! LiHg3Pd4, relaxed, DFT PBE; values from VASP
&SYSTEM
  ibrav = 0, nat = 8, ntyp = 3
/
ATOMIC_SPECIES
Li 6.94 Li.upf
Hg 200.59 Hg.upf
Pd 106.42 Pd.upf
CELL_PARAMETERS angstrom
7.696 -2.156 0.000
7.696 2.156 0.000
-1.201 0.000 4.142
ATOMIC_POSITIONS crystal
Li 0.000 0.000 0.000
Hg 0.248 0.248 0.249
Hg 0.500 0.500 0.500
Hg 0.752 0.752 0.751
Pd 0.121 0.121 0.622
Pd 0.379 0.379 0.879
Pd 0.621 0.621 0.121
Pd 0.879 0.879 0.378
! Total DFT energy (no corrections)   -3.214 eV/atom
! D(E_F)   1.339 states/eV per cell
! Theoretical density   12.5 g cm⁻³
! E_form   -2.124 eV per formula unit
! Energy relative to the lowest polymorph listed for this composition   0 kJ/mol of formula units
! Magnetic moment   0.0 μB per formula unit

=====

4.
! Li5HgPd, relaxed, DFT PBE; values from VASP
&SYSTEM
  ibrav = 0, nat = 14, ntyp = 3
/
ATOMIC_SPECIES
Li 6.94 Li.upf
Hg 200.59 Hg.upf
Pd 106.42 Pd.upf
CELL_PARAMETERS angstrom
3.549 -3.301 0.000
3.549 3.301 0.000
-1.255 0.000 9.974
ATOMIC_POSITIONS crystal
Li 0.038 0.962 0.750
Li 0.101 0.463 0.625
Li 0.202 0.472 0.926
Li 0.463 0.101 0.125
Li 0.472 0.202 0.426
Li 0.528 0.798 0.574
Li 0.537 0.899 0.875
Li 0.798 0.528 0.074
Li 0.899 0.537 0.375
Li 0.962 0.038 0.250
Hg 0.370 0.630 0.250
Hg 0.630 0.370 0.750
Pd 0.000 0.000 0.000
Pd 0.000 0.000 0.500
! Total DFT energy (no corrections)   -2.406 eV/atom
! D(E_F)   2.899 states/eV per cell
! Theoretical density   4.9 g cm⁻³
! E_form   -1.776 eV per formula unit
! Magnetic moment   0.0 μB per formula unit

=====

5.
! Li9HgPd2, relaxed, DFT PBE; values from VASP
&SYSTEM
  ibrav = 0, nat = 12, ntyp = 3
/
ATOMIC_SPECIES
Li 6.94 Li.upf
Hg 200.59 Hg.upf
Pd 106.42 Pd.upf
CELL_PARAMETERS angstrom
4.992 0.000 0.000
-2.481 4.334 0.000
-2.484 -1.429 8.998
ATOMIC_POSITIONS crystal
Li 0.000 0.000 0.000
Li 0.145 0.714 0.232
Li 0.201 0.917 0.768
Li 0.328 0.164 0.492
Li 0.486 0.571 0.769
Li 0.514 0.429 0.231
Li 0.672 0.836 0.508
Li 0.799 0.083 0.232
Li 0.855 0.286 0.768
Hg 0.000 0.500 0.500
Pd 0.336 0.669 0.005
Pd 0.664 0.331 0.995
! Total DFT energy (no corrections)   -2.580 eV/atom
! D(E_F)   4.809 states/eV per cell
! Theoretical density   4.1 g cm⁻³
! E_form   -3.053 eV per formula unit
! Magnetic moment   0.0 μB per formula unit

=====

6.
! Li4HgPd6, relaxed, DFT PBE; values from VASP
&SYSTEM
  ibrav = 0, nat = 11, ntyp = 3
/
ATOMIC_SPECIES
Li 6.94 Li.upf
Hg 200.59 Hg.upf
Pd 106.42 Pd.upf
CELL_PARAMETERS angstrom
-2.590 2.590 6.479
2.590 -2.590 6.479
2.590 2.590 -6.479
ATOMIC_POSITIONS crystal
Li 0.187 0.187 0.631
Li 0.444 0.813 0.000
Li 0.556 0.556 0.369
Li 0.813 0.444 0.000
Hg 0.000 0.000 0.000
Pd 0.000 0.500 0.500
Pd 0.014 0.616 0.000
Pd 0.384 0.384 0.399
Pd 0.500 0.000 0.500
Pd 0.616 0.014 0.000
Pd 0.986 0.986 0.601
! Total DFT energy (no corrections)   -3.705 eV/atom
! D(E_F)   2.593 states/eV per cell
! Theoretical density   8.3 g cm⁻³
! E_form   -1.642 eV per formula unit
! Magnetic moment   0.0 μB per formula unit

=====

What is the D(E_F) in the third record?
1.339 states/eV per cell

=====

Copy entry 1 word for word.
! Li3HgPd6, relaxed, DFT PBE; values from VASP
&SYSTEM
  ibrav = 0, nat = 20, ntyp = 3
/
ATOMIC_SPECIES
Li 6.94 Li.upf
Hg 200.59 Hg.upf
Pd 106.42 Pd.upf
CELL_PARAMETERS angstrom
7.830 0.000 0.000
0.000 4.247 0.000
-1.779 0.000 8.927
ATOMIC_POSITIONS crystal
Li 0.046 0.250 0.396
Li 0.147 0.750 0.181
Li 0.251 0.250 0.976
Li 0.749 0.750 0.024
Li 0.853 0.250 0.819
Li 0.954 0.750 0.604
Hg 0.444 0.250 0.605
Hg 0.556 0.750 0.395
Pd 0.038 0.750 0.896
Pd 0.121 0.250 0.692
Pd 0.223 0.750 0.477
Pd 0.321 0.250 0.276
Pd 0.343 0.750 0.789
Pd 0.437 0.750 0.088
Pd 0.563 0.250 0.912
Pd 0.657 0.250 0.211
Pd 0.679 0.750 0.724
Pd 0.777 0.250 0.523
Pd 0.879 0.750 0.308
Pd 0.962 0.250 0.104
! Total DFT energy (no corrections)   -4.010 eV/atom
! D(E_F)   14.147 states/eV per cell
! Theoretical density   9.6 g cm⁻³
! E_form   -2.903 eV per formula unit
! Energy relative to the lowest polymorph listed for this composition   0 kJ/mol of formula units
! Magnetic moment   0.0 μB per formula unit

=====

E_form of number 5 (Li9HgPd2)?
-3.053 eV per formula unit